No. 1
TmNbAlTc: relaxed, PBE-GGA.

Lattice parameters (Å, degrees): 6.6509 6.6509 6.6509 90.00 90.00 90.00
With the nearest neighbours (Å) after each atom.
Atoms (fractional coordinates):
Tm 0.0000 0.0000 0.0000  4 Tc 2.88, 4 Al 2.88
Tm 0.0000 0.5000 0.5000  4 Tc 2.88, 4 Al 2.88
Tm 0.5000 0.0000 0.5000  4 Tc 2.88, 4 Al 2.88
Tm 0.5000 0.5000 0.0000  4 Tc 2.88, 4 Al 2.88
Nb 0.0000 0.0000 0.5000  4 Al 2.88, 4 Tc 2.88
Nb 0.0000 0.5000 0.0000  4 Al 2.88, 4 Tc 2.88
Nb 0.5000 0.0000 0.0000  4 Al 2.88, 4 Tc 2.88
Nb 0.5000 0.5000 0.5000  4 Al 2.88, 4 Tc 2.88
Al 0.2500 0.2500 0.7500  4 Nb 2.88, 4 Tm 2.88
Al 0.2500 0.7500 0.2500  4 Nb 2.88, 4 Tm 2.88
Al 0.7500 0.2500 0.2500  4 Nb 2.88, 4 Tm 2.88
Al 0.7500 0.7500 0.7500  4 Nb 2.88, 4 Tm 2.88
Tc 0.2500 0.2500 0.2500  4 Nb 2.88, 4 Tm 2.88
Tc 0.2500 0.7500 0.7500  4 Nb 2.88, 4 Tm 2.88
Tc 0.7500 0.2500 0.7500  4 Nb 2.88, 4 Tm 2.88
Tc 0.7500 0.7500 0.2500  4 Nb 2.88, 4 Tm 2.88

Calculated formation energy: -0.17 eV/atom

=====

No. 2
Nb3AlTe: relaxed, PBE-GGA.

Lattice parameters (Å, degrees): 5.0044 5.0044 5.0044 90.00 90.00 90.00
With the nearest neighbours (Å) after each atom.
Atoms (fractional coordinates):
Nb 0.0000 0.0000 0.5000  2 Te 2.50
Nb 0.0000 0.5000 0.0000  2 Te 2.50
Nb 0.5000 0.0000 0.0000  2 Te 2.50
Al 0.5000 0.5000 0.5000  12 Nb 3.54
Te 0.0000 0.0000 0.0000  6 Nb 2.50

E_form (uncorrected): 1.346 eV/atom
Polymorph energy (0 for the lowest one): 1.51 eV/f.u.

=====

No. 3
NbAl2Te: relaxed, PBE-GGA.

Lattice parameters (Å, degrees): 7.6461 7.6461 5.7156 90.00 90.00 90.00
With the nearest neighbours (Å) after each atom.
Atoms (fractional coordinates):
Nb 0.0000 0.0000 0.0000  4 Al 2.76, 2 Te 2.86
Nb 0.0000 0.5000 0.2500  4 Al 2.76, 2 Te 2.86
Nb 0.5000 0.0000 0.7500  4 Al 2.76, 2 Te 2.86
Nb 0.5000 0.5000 0.5000  4 Al 2.76, 2 Te 2.86
Al 0.2437 0.2500 0.1250  2 Nb 2.76, 2 Te 2.83, 2 Al 2.86
Al 0.2500 0.7437 0.3750  2 Nb 2.76, 2 Te 2.83, 2 Al 2.86
Al 0.2500 0.7563 0.8750  2 Nb 2.76, 2 Te 2.83, 2 Al 2.86
Al 0.2563 0.2500 0.6250  2 Nb 2.76, 2 Te 2.83, 2 Al 2.86
Al 0.7437 0.7500 0.6250  2 Nb 2.76, 2 Te 2.83, 2 Al 2.86
Al 0.7500 0.2437 0.8750  2 Nb 2.76, 2 Te 2.83, 2 Al 2.86
Al 0.7500 0.2563 0.3750  2 Nb 2.76, 2 Te 2.83, 2 Al 2.86
Al 0.7563 0.7500 0.1250  2 Nb 2.76, 2 Te 2.83, 2 Al 2.86
Te 0.0000 0.0000 0.5000  4 Al 2.83, 2 Nb 2.86
Te 0.0000 0.5000 0.7500  4 Al 2.83, 2 Nb 2.86
Te 0.5000 0.0000 0.2500  4 Al 2.83, 2 Nb 2.86
Te 0.5000 0.5000 0.0000  4 Al 2.83, 2 Nb 2.86

E_form (uncorrected): 0.360 eV/atom

=====

No. 4
Nb3AlTe: relaxed, PBE-GGA.

Lattice parameters (Å, degrees): 4.7780 4.7780 4.7780 90.00 90.00 90.00
With the nearest neighbours (Å) after each atom.
Atoms (fractional coordinates):
Nb 0.0000 0.0000 0.5000  2 Al 2.39
Nb 0.0000 0.5000 0.0000  2 Al 2.39
Nb 0.5000 0.0000 0.0000  2 Al 2.39
Al 0.0000 0.0000 0.0000  6 Nb 2.39
Te 0.5000 0.5000 0.5000  12 Nb 3.38

E_form (uncorrected): 1.045 eV/atom
Polymorph energy (0 for the lowest one): 0.00 eV/f.u.

=====

No. 5
NbAl3Te: relaxed, PBE-GGA.

Lattice parameters (Å, degrees): 5.1033 5.1033 5.1033 90.00 90.00 90.00
With the nearest neighbours (Å) after each atom.
Atoms (fractional coordinates):
Nb 0.0000 0.0000 0.0000  6 Al 2.55
Al 0.0000 0.0000 0.5000  2 Nb 2.55
Al 0.0000 0.5000 0.0000  2 Nb 2.55
Al 0.5000 0.0000 0.0000  2 Nb 2.55
Te 0.5000 0.5000 0.5000  12 Al 3.61

E_form (uncorrected): 0.842 eV/atom
Polymorph energy (0 for the lowest one): 0.00 eV/f.u.

=====

No. 6
Nb2Al2Te: relaxed, PBE-GGA.

Lattice parameters (Å, degrees): 7.1496 7.1496 3.8235 90.00 90.00 90.00
With the nearest neighbours (Å) after each atom.
Atoms (fractional coordinates):
Nb 0.1374 0.3626 0.0000  2 Te 2.77, 1 Nb 2.78, 6 Al 2.83-2.85
Nb 0.3626 0.8626 0.0000  2 Te 2.77, 1 Nb 2.78, 6 Al 2.83-2.85
Nb 0.6374 0.1374 0.0000  2 Te 2.77, 1 Nb 2.78, 6 Al 2.83-2.85
Nb 0.8626 0.6374 0.0000  2 Te 2.77, 1 Nb 2.78, 6 Al 2.83-2.85
Al 0.1542 0.6542 0.5000  6 Nb 2.83-2.85, 1 Al 3.12
Al 0.3458 0.1542 0.5000  6 Nb 2.83-2.85, 1 Al 3.12
Al 0.6542 0.8458 0.5000  6 Nb 2.83-2.85, 1 Al 3.12
Al 0.8458 0.3458 0.5000  6 Nb 2.83-2.85, 1 Al 3.12
Te 0.0000 0.0000 0.0000  4 Nb 2.77
Te 0.5000 0.5000 0.0000  4 Nb 2.77

E_form (uncorrected): -0.017 eV/atom

=====

No. 7
NbAlZnTe2: relaxed, PBE-GGA.

Lattice parameters (Å, degrees): 5.4054 5.4054 4.5204 90.00 90.00 90.00
With the nearest neighbours (Å) after each atom.
Atoms (fractional coordinates):
Nb 0.0000 0.0000 0.0000  8 Te 3.52, 4 Al 3.82
Al 0.5000 0.5000 0.0000  2 Zn 2.26
Zn 0.5000 0.5000 0.5000  2 Al 2.26
Te 0.0000 0.5000 0.5000  2 Zn 2.70
Te 0.5000 0.0000 0.5000  2 Zn 2.70

E_form (uncorrected): 0.792 eV/atom

=====

No. 8
Th2NbAl3: relaxed, PBE-GGA.

Lattice parameters (Å, degrees): 5.7440 5.7440 5.7440 59.31 59.31 59.31
With the nearest neighbours (Å) after each atom.
Atoms (fractional coordinates):
Th 0.1322 0.1322 0.1322  9 Al 3.28-3.40, 3 Nb 3.32, 3 Th 3.42
Th 0.8678 0.8678 0.8678  9 Al 3.28-3.40, 3 Nb 3.32, 3 Th 3.42
Nb 0.5000 0.5000 0.5000  6 Al 2.87
Al 0.0000 0.5000 0.5000  4 Al 2.84, 2 Nb 2.87
Al 0.5000 0.0000 0.5000  4 Al 2.84, 2 Nb 2.87
Al 0.5000 0.5000 0.0000  4 Al 2.84, 2 Nb 2.87

Calculated formation energy: -0.35 eV/atom

=====

Number 1: total magnetization 0.000 μB per cell. Number 2: total magnetization 0.000 μB per cell. Number 3: total magnetization 0.000 μB per cell. Number 4: total magnetization 0.000 μB per cell. Number 5: total magnetization 0.000 μB per cell. Number 6: total magnetization 0.000 μB per cell. Number 7: total magnetization 3.097 μB per cell. Number 8: total magnetization 0.000 μB per cell.